[1]
9
Lattice="3.946 0.000 0.000 0.000 6.746 3.889 0.000 -6.746 3.889" Properties=species:S:1:pos:R:3 comment="Dy2YPd2PtPb3 (PBE, optimized geometry)" m_tot_mub_per_atom=0.0006 mass_density_g_cm3=11.6 crystal_system=orthorhombic total_energy_ev_per_atom=-5.549 pbc="T T T"
Pb 1.973 0.000 5.697
Pd 1.973 -2.256 3.893
Pb 1.973 -1.805 1.041
Pt 0.000 0.000 7.774
Pb 1.973 1.805 1.041
Dy 0.000 4.056 2.338
Dy 0.000 -4.056 2.338
Y 0.000 0.000 3.100
Pd 1.973 2.256 3.893


[2]
24
Lattice="-2.813 -4.195 3.005 8.463 -0.200 7.644 -1.629 2.430 1.867" Properties=species:S:1:pos:R:3 comment="ZrB4Os (PBE, optimized geometry)" m_tot_mub_per_atom=0.0001 mass_density_g_cm3=9.3 crystal_system=orthorhombic total_energy_ev_per_atom=-8.264 pbc="T T T"
B 7.018 0.466 8.741
Zr 4.750 -3.823 9.118
B 5.517 -1.559 10.067
Zr 4.453 -1.685 6.078
Os 3.019 -0.672 3.508
B 5.477 0.190 7.757
B -0.952 -2.919 6.194
Os 2.631 -3.724 7.141
B -2.997 -2.431 3.775
B 2.123 -0.422 5.627
Os -0.986 -2.707 2.663
B -0.502 -0.799 3.828
B -1.496 -0.406 2.449
B 3.025 -1.883 8.315
Zr 0.901 -0.573 1.531
B 0.530 -2.585 7.052
B 4.973 0.954 6.322
B 1.898 -1.543 6.890
B 4.523 -1.166 8.688
Zr 1.197 -2.710 4.571
B 0.996 -0.082 4.201
B 3.491 0.620 5.464
Os 6.636 -1.688 7.986
B -1.456 -2.155 4.760


[3]
3
Lattice="0.000 2.764 2.764 2.764 0.000 2.764 2.764 2.764 0.000" Properties=species:S:1:pos:R:3 comment="TaBeCo (PBE, optimized geometry)" m_tot_mub_per_atom=0.0241 mass_density_g_cm3=9.8 crystal_system=cubic total_energy_ev_per_atom=-7.363 pbc="T T T"
Ta 4.145 4.145 4.145
Co 0.000 0.000 0.000
Be 1.382 1.382 1.382